Entry from the Alexandria database: crystalline LaCe2F11 at its relaxed geometry (PBE-GGA).

a = 8.4383 Å, b = 8.8765 Å, c = 8.8765 Å
α = 73.45°, β = 61.62°, γ = 61.62°
Element x y z (fractional)
1 Ce 0.6438 0.6820 0.3180
2 Ce 0.1438 0.8180 0.1820
3 Ce 0.8562 0.1820 0.8180
4 Ce 0.3562 0.3180 0.6820
5 F 0.1274 0.2161 0.7839
6 F 0.3587 0.2918 0.4414
7 F 0.1413 0.0586 0.2082
8 F 0.5918 0.2082 0.0586
9 F 0.6413 0.7082 0.5586
10 F 0.8726 0.7839 0.2161
11 F 0.6274 0.2839 0.7161
12 F 0.2348 0.5409 0.1820
13 F 0.7652 0.4591 0.8180
14 F 0.0918 0.5586 0.7082
15 F 0.4577 0.9591 0.3180
16 F 0.8587 0.9414 0.7918
17 F 0.5000 0.5000 0.5000
18 F 0.9082 0.4414 0.2918
19 F 0.9577 0.8180 0.4591
20 F 0.5423 0.0409 0.6820
21 F 0.7348 0.6820 0.0409
22 F 0.2652 0.3180 0.9591
23 F 0.3726 0.7161 0.2839
24 F 0.4082 0.7918 0.9414
25 F 0.0423 0.1820 0.5409
26 F 0.0000 0.0000 0.0000
27 La 0.2500 0.2500 0.2500
28 La 0.7500 0.7500 0.7500

Computed properties:
V in Å³/cell: 513.17
Raw formation energy in eV per atom: -3.858
Uncorrected energy in eV per atom: -6.528
Magnetization in μB/f.u.: 0.001

Entry from the Alexandria database: crystalline DyMgNi2H6 at its relaxed geometry (PBE-GGA).

a = 4.3698 Å, b = 4.3698 Å, c = 5.7199 Å
α = 67.54°, β = 67.54°, γ = 60.00°
Element x y z (fractional)
1 H 0.4349 0.4347 0.1900
2 H 0.5653 0.0595 0.8100
3 H 0.4347 0.9405 0.1900
4 H 0.0595 0.5651 0.8100
5 H 0.5651 0.5653 0.8100
6 H 0.9405 0.4349 0.1900
7 Dy 0.0000 0.0000 0.0000
8 Ni 0.2110 0.2110 0.3670
9 Ni 0.7890 0.7890 0.6330
10 Mg 0.5000 0.5000 0.5000

Computed properties:
V in Å³/cell: 84.89
Uncorrected energy in eV per atom: -4.074
Magnetization in μB/f.u.: 0.000

Entry from the Alexandria database: crystalline CsNbTc2O8 at its relaxed geometry (PBE-GGA).

a = 5.7969 Å, b = 5.7969 Å, c = 8.4697 Å
α = 90.00°, β = 90.00°, γ = 120.00°
Element x y z (fractional)
1 O 0.8352 0.1648 0.3628
2 O 0.8352 0.6704 0.3628
3 O 0.6704 0.8352 0.6372
4 O 0.1648 0.8352 0.6372
5 O 0.6667 0.3333 0.0743
6 O 0.3333 0.6667 0.9257
7 O 0.1648 0.3296 0.6372
8 O 0.3296 0.1648 0.3628
9 Tc 0.6667 0.3333 0.2811
10 Tc 0.3333 0.6667 0.7189
11 Nb 0.0000 0.0000 0.5000
12 Cs 0.0000 0.0000 0.0000

Computed properties:
V in Å³/cell: 246.49
Raw formation energy in eV per atom: -1.727
Uncorrected energy in eV per atom: -7.670
Magnetization in μB/f.u.: 0.951

Entry from the Alexandria database: crystalline LaNd12Sm6 at its relaxed geometry (PBE-GGA).

a = 8.7713 Å, b = 8.7713 Å, c = 8.7713 Å
α = 89.04°, β = 89.04°, γ = 89.04°
Element x y z (fractional)
1 Nd 0.3606 0.0166 0.1971
2 Nd 0.0166 0.1971 0.3606
3 Nd 0.4338 0.7792 0.5370
4 Nd 0.7792 0.5370 0.4338
5 Nd 0.5662 0.2208 0.4630
6 Nd 0.5370 0.4338 0.7792
7 Nd 0.9834 0.8029 0.6394
8 Nd 0.6394 0.9834 0.8029
9 Nd 0.4630 0.5662 0.2208
10 Nd 0.1971 0.3606 0.0166
11 Nd 0.8029 0.6394 0.9834
12 Nd 0.2208 0.4630 0.5662
13 La 0.0000 0.0000 0.0000
14 Sm 0.0962 0.6971 0.2604
15 Sm 0.9038 0.3029 0.7396
16 Sm 0.3029 0.7396 0.9038
17 Sm 0.2604 0.0962 0.6971
18 Sm 0.6971 0.2604 0.0962
19 Sm 0.7396 0.9038 0.3029

Computed properties:
V in Å³/cell: 674.55
Energy above the lowest structure with this stoichiometry in eV per formula unit: 0.00
Uncorrected energy in eV per atom: -4.633
Magnetization in μB/f.u.: 0.000